1.
Density functional theory data (PBE) for a relaxed PdBrO2 crystal.

Geometry as POSCAR:
```
PdBrO2
1.0
6.063 0.000 0.000
0.000 3.946 0.000
0.000 0.000 12.288
Pd Br O
4 4 8
Direct
0.183 0.250 0.035
0.317 0.750 0.535
0.683 0.250 0.465
0.817 0.750 0.965
0.047 0.750 0.359
0.453 0.250 0.859
0.547 0.750 0.141
0.953 0.250 0.641
0.042 0.750 0.634
0.097 0.750 0.054
0.403 0.250 0.554
0.458 0.250 0.134
0.542 0.750 0.866
0.597 0.750 0.446
0.903 0.250 0.946
0.958 0.250 0.366
```

Output
ΔE_f (raw)	0.07	eV/atom
final energy	-66.028	eV/cell
crystal system	orthorhombic
density	4.932	g cm⁻³



2.
Density functional theory data (PBE) for a relaxed PdBrO2 crystal.

Geometry as POSCAR:
```
PdBrO2
1.0
3.408 0.000 0.000
-1.699 2.956 0.000
-0.022 -1.907 5.930
Pd Br O
1 1 2
Direct
0.000 0.000 0.000
0.500 0.000 0.500
0.384 0.766 0.154
0.616 0.234 0.846
```

Output
ΔE_f (raw)	-0.11	eV/atom
final energy	-17.214	eV/cell
crystal system	triclinic
density	6.068	g cm⁻³



3.
Density functional theory data (PBE) for a relaxed PdBrO2 crystal.

Geometry as POSCAR:
```
PdBrO2
1.0
-2.985 2.985 4.106
2.985 -2.985 4.106
2.985 2.985 -4.106
Pd Br O
2 2 4
Direct
0.000 0.000 0.000
0.750 0.250 0.500
0.250 0.750 0.500
0.500 0.500 0.000
0.375 0.244 0.369
0.756 0.125 0.131
0.875 0.006 0.631
0.994 0.625 0.869
```

Output
ΔE_f (raw)	0.42	eV/atom
final energy	-30.223	eV/cell
crystal system	tetragonal
density	4.956	g cm⁻³



4.
Density functional theory data (PBE) for a relaxed PdBr3O crystal.

Geometry as POSCAR:
```
PdBr3O
1.0
7.531 0.000 0.000
0.000 6.522 0.000
-4.344 0.000 11.809
Pd Br O
4 12 4
Direct
0.090 0.243 0.053
0.090 0.257 0.553
0.910 0.743 0.447
0.910 0.757 0.947
0.019 0.033 0.851
0.019 0.467 0.351
0.221 0.578 0.004
0.221 0.922 0.504
0.499 0.123 0.241
0.499 0.377 0.741
0.501 0.623 0.259
0.501 0.877 0.759
0.779 0.078 0.496
0.779 0.422 0.996
0.981 0.533 0.649
0.981 0.967 0.149
0.351 0.127 0.093
0.351 0.373 0.593
0.649 0.627 0.407
0.649 0.873 0.907
```

Output
ΔE_f (raw)	-0.05	eV/atom
final energy	-61.635	eV/cell
energy above the most stable polymorph in this dataset	0.0	kJ/mol of atoms
crystal system	monoclinic
density	4.147	g cm⁻³



5.
Density functional theory data (PBE) for a relaxed PdBrO2 crystal.

Geometry as POSCAR:
```
PdBrO2
1.0
3.241 0.000 0.000
1.618 6.321 0.000
1.602 -0.201 6.416
Pd Br O
2 2 4
Direct
0.000 0.000 0.000
0.170 0.467 0.194
0.273 0.694 0.756
0.631 0.178 0.560
0.469 0.882 0.182
0.499 0.148 0.854
0.547 0.668 0.240
0.765 0.262 0.211
```

Output
ΔE_f (raw)	-0.06	eV/atom
final energy	-34.023	eV/cell
crystal system	triclinic
density	5.516	g cm⁻³



6.
Density functional theory data (PBE) for a relaxed PdBrO2 crystal.

Geometry as POSCAR:
```
PdBrO2
1.0
3.439 0.000 0.000
1.228 6.280 0.000
1.036 1.272 6.433
Pd Br O
2 2 4
Direct
0.000 0.000 0.000
0.294 0.436 0.189
0.042 0.755 0.352
0.773 0.263 0.664
0.446 0.195 0.023
0.563 0.826 0.908
0.612 0.607 0.947
0.952 0.244 0.393
```

Output
ΔE_f (raw)	-0.05	eV/atom
final energy	-34.001	eV/cell
crystal system	triclinic
density	5.218	g cm⁻³



7.
Density functional theory data (PBE) for a relaxed PdBrO2 crystal.

Geometry as POSCAR:
```
PdBrO2
1.0
1.505 0.869 7.065
-1.505 0.869 7.065
0.000 -1.738 7.065
Pd Br O
1 1 2
Direct
0.000 0.000 0.000
0.500 0.500 0.500
0.090 0.090 0.090
0.910 0.910 0.910
```

Output
ΔE_f (raw)	0.59	eV/atom
final energy	-14.402	eV/cell
crystal system	trigonal
density	6.538	g cm⁻³



8.
Density functional theory data (PBE) for a relaxed PdBrO2 crystal.

Geometry as POSCAR:
```
PdBrO2
1.0
3.221 0.000 0.000
-0.725 6.083 0.000
-1.348 -1.476 6.354
Pd Br O
2 2 4
Direct
0.106 0.388 0.256
0.894 0.612 0.744
0.000 0.000 0.000
0.500 0.000 0.500
0.340 0.692 0.569
0.435 0.475 0.888
0.565 0.525 0.112
0.660 0.308 0.431
```

Output
ΔE_f (raw)	-0.06	eV/atom
final energy	-34.065	eV/cell
crystal system	triclinic
density	5.823	g cm⁻³



9.
Density functional theory data (PBE) for a relaxed PdBrO crystal.

Geometry as POSCAR:
```
PdBrO
1.0
-1.993 2.761 5.217
1.993 -2.761 5.217
1.993 2.761 -5.217
Pd Br O
2 2 2
Direct
0.384 0.134 0.250
0.616 0.866 0.750
0.145 0.895 0.250
0.855 0.105 0.750
0.419 0.669 0.750
0.581 0.331 0.250
```

Output
ΔE_f (raw)	-0.19	eV/atom
final energy	-24.769	eV/cell
crystal system	orthorhombic
density	5.854	g cm⁻³



10.
Density functional theory data (PBE) for a relaxed PdBrO2 crystal.

Geometry as POSCAR:
```
PdBrO2
1.0
3.549 0.000 0.000
0.002 6.233 0.000
1.751 0.552 6.107
Pd Br O
2 2 4
Direct
0.000 0.000 0.000
0.487 0.444 0.026
0.381 0.770 0.240
0.742 0.228 0.517
0.071 0.573 0.856
0.109 0.781 0.779
0.573 0.169 0.854
0.913 0.278 0.176
```

Output
ΔE_f (raw)	-0.14	eV/atom
final energy	-34.655	eV/cell
crystal system	triclinic
density	5.368	g cm⁻³



11.
Density functional theory data (PBE) for a relaxed PdBrO2 crystal.

Geometry as POSCAR:
```
PdBrO2
1.0
-2.328 2.328 5.071
2.328 -2.328 5.071
2.328 2.328 -5.071
Pd Br O
2 2 4
Direct
0.375 0.625 0.750
0.625 0.375 0.250
0.125 0.875 0.250
0.875 0.125 0.750
0.174 0.424 0.750
0.424 0.174 0.250
0.576 0.826 0.750
0.826 0.576 0.250
```

Output
ΔE_f (raw)	0.32	eV/atom
final energy	-30.964	eV/cell
crystal system	tetragonal
density	6.597	g cm⁻³



12.
Density functional theory data (PBE) for a relaxed PdBr2O crystal.

Geometry as POSCAR:
```
PdBr2O
1.0
1.722 0.994 8.234
-1.722 0.994 8.234
0.000 -1.988 8.234
Pd Br O
1 2 1
Direct
0.000 0.000 0.000
0.097 0.097 0.097
0.903 0.903 0.903
0.500 0.500 0.500
```

Output
ΔE_f (raw)	0.72	eV/atom
final energy	-10.626	eV/cell
crystal system	trigonal
density	5.542	g cm⁻³